(1)
{"formula": "Gd3Mg3TlZn2", "functional": "PBE", "state": "relaxed", "lattice_angstrom": [[-0.034, 6.412, -3.686], [-5.444, -4.896, -1.046], [-2.379, 1.925, 3.370]], "species": ["Gd", "Gd", "Gd", "Mg", "Mg", "Mg", "Zn", "Zn", "Tl"], "frac_coords": [[0.429, 0.000, 0.000], [0.000, 0.429, 0.000], [0.571, 0.571, 0.000], [0.000, 0.749, 0.500], [0.749, 0.000, 0.500], [0.251, 0.251, 0.500], [0.667, 0.333, 0.500], [0.333, 0.667, 0.500], [0.000, 0.000, 0.000]], "vol_a3_per_atom": 24.0, "mass_density_g_cm3": 6.77, "dft_energy_ev_per_fu": -25.89}

---

(2)
{"formula": "LiZnFePb", "functional": "PBE", "state": "relaxed", "lattice_angstrom": [[0.000, 3.119, 3.119], [3.119, 0.000, 3.119], [3.119, 3.119, 0.000]], "species": ["Zn", "Li", "Pb", "Fe"], "frac_coords": [[0.500, 0.500, 0.500], [0.250, 0.250, 0.250], [0.000, 0.000, 0.000], [0.750, 0.750, 0.750]], "vol_a3_per_atom": 15.2, "mass_density_g_cm3": 9.18, "dft_energy_ev_per_fu": -14.49, "polymorph_energy_ev_per_fu": 0.00}

---

(3)
{"formula": "CsAs5Os3", "functional": "PBE", "state": "relaxed", "lattice_angstrom": [[5.622, 0.000, 0.000], [-2.811, 4.868, 0.000], [0.000, 0.000, 7.882]], "species": ["As", "As", "As", "As", "As", "Os", "Os", "Os", "Cs"], "frac_coords": [[0.667, 0.333, 0.743], [0.333, 0.667, 0.743], [0.000, 0.000, 0.500], [0.667, 0.333, 0.257], [0.333, 0.667, 0.257], [0.000, 0.500, 0.500], [0.500, 0.500, 0.500], [0.500, 0.000, 0.500], [0.000, 0.000, 0.000]], "vol_a3_per_atom": 24.0, "mass_density_g_cm3": 8.30, "dft_energy_ev_per_fu": -56.18}

---

(4)
{"formula": "SmUTa", "functional": "PBE", "state": "relaxed", "lattice_angstrom": [[0.000, 3.433, 3.433], [3.433, 0.000, 3.433], [3.433, 3.433, 0.000]], "species": ["Sm", "U", "Ta"], "frac_coords": [[0.250, 0.250, 0.250], [0.000, 0.000, 0.000], [0.750, 0.750, 0.750]], "vol_a3_per_atom": 27.0, "mass_density_g_cm3": 11.68, "delta_e_f_ev_per_atom": 1.44, "dft_energy_ev_per_fu": -23.54, "polymorph_energy_ev_per_fu": 0.00}

---

(5)
{"formula": "Sr2MgSn3Pt2", "functional": "PBE", "state": "relaxed", "lattice_angstrom": [[5.706, -2.245, 0.000], [5.706, 2.245, 0.000], [-0.140, 0.000, 7.693]], "species": ["Sn", "Sn", "Sn", "Sr", "Sr", "Pt", "Pt", "Mg"], "frac_coords": [[0.653, 0.653, 0.949], [0.357, 0.357, 0.446], [0.647, 0.647, 0.549], [0.937, 0.937, 0.754], [0.065, 0.065, 0.248], [0.217, 0.217, 0.743], [0.789, 0.789, 0.254], [0.336, 0.336, 0.056]], "vol_a3_per_atom": 24.6, "mass_density_g_cm3": 7.97, "dft_energy_ev_per_fu": -35.01}

---

(6)
{"formula": "PrTh", "functional": "PBE", "state": "relaxed", "lattice_angstrom": [[2.416, 0.357, 4.190], [-2.311, 1.426, 4.018], [-0.848, -3.175, 3.566]], "species": ["Th", "Pr"], "frac_coords": [[0.250, 0.250, 0.250], [0.000, 0.000, 0.000]], "vol_a3_per_atom": 40.3, "mass_density_g_cm3": 7.68, "delta_e_f_ev_per_atom": 1.79, "dft_energy_ev_per_fu": -8.61, "polymorph_energy_ev_per_fu": 3.41}

---

(7)
{"formula": "NdGd2", "functional": "PBE", "state": "relaxed", "lattice_angstrom": [[6.082, -6.634, -0.034], [-2.276, -8.176, -2.997], [3.322, -3.019, -7.801]], "species": ["Gd", "Gd", "Gd", "Gd", "Nd", "Nd"], "frac_coords": [[0.875, 0.375, 0.375], [0.375, 0.375, 0.375], [0.375, 0.875, 0.375], [0.375, 0.375, 0.875], [0.250, 0.250, 0.250], [0.500, 0.500, 0.500]], "vol_a3_per_atom": 85.9, "mass_density_g_cm3": 2.96, "delta_e_f_ev_per_atom": 2.34, "dft_energy_ev_per_fu": -7.05, "polymorph_energy_ev_per_fu": 6.21}

---

(8)
{"formula": "LaMgGeIr", "functional": "PBE", "state": "relaxed", "lattice_angstrom": [[0.264, -4.344, -2.036], [-2.985, -3.495, 1.400], [-3.497, -1.493, -2.937]], "species": ["Mg", "Ir", "La", "Ge"], "frac_coords": [[0.750, 0.750, 0.750], [0.000, 0.000, 0.000], [0.500, 0.500, 0.500], [0.250, 0.250, 0.250]], "vol_a3_per_atom": 19.6, "mass_density_g_cm3": 9.06, "dft_energy_ev_per_fu": -21.35, "polymorph_energy_ev_per_fu": 0.07}